A relaxed SrLi2CdIn4 crystal, computed with GGA-PBE.

```
data_SrLi2CdIn4
_chemical_formula_sum 'Sr3 Li6 Cd3 In12'
_cell_length_a 4.8202
_cell_length_b 4.8202
_cell_length_c 30.7354
_cell_angle_alpha 90.00
_cell_angle_beta 90.00
_cell_angle_gamma 120.00
_space_group_name_H-M_alt 'R -3 m'
_space_group_IT_number 166
_space_group_name_Hall '-R 3 2"'
loop_
_atom_site_label
_atom_site_type_symbol
_atom_site_fract_x
_atom_site_fract_y
_atom_site_fract_z
Sr1 Sr 0.0000 0.0000 0.0000
Li1 Li 0.0000 0.0000 0.2178
Cd1 Cd 0.0000 0.0000 0.5000
In1 In 0.0000 0.0000 0.1148
In2 In 0.0000 0.0000 0.4015
```

Computed properties:
**Final energy**: -58.4 eV per cell
**Magnetic moment**: 0.000 μB/f.u.
**ΔH_f (0 K)**: -25.0 kJ/mol of atoms
**Density of states at the Fermi level**: 0.1828 states/eV per atom

---

A relaxed SbAs2CBr crystal, computed with GGA-PBE.

```
data_SbAs2CBr
_chemical_formula_sum 'Sb1 As2 C1 Br1'
_cell_length_a 5.438
_cell_length_b 5.438
_cell_length_c 5.491
_cell_angle_alpha 90.00
_cell_angle_beta 90.00
_cell_angle_gamma 90.00
_space_group_name_H-M_alt 'P 4/m m m'
_space_group_IT_number 123
_space_group_name_Hall '-P 4 2'
loop_
_atom_site_label
_atom_site_type_symbol
_atom_site_fract_x
_atom_site_fract_y
_atom_site_fract_z
Sb1 Sb 0.000 0.000 0.000
As1 As 0.000 0.500 0.000
C1 C 0.500 0.500 0.500
Br1 Br 0.000 0.000 0.500
```

Computed properties:
**Final energy**: -14.3 eV per cell
**Relative energy among the computed polymorphs**: 87.42 kJ/mol of atoms
**Magnetic moment**: 0.225 μB/f.u.
**Density of states at the Fermi level**: 1.1002 states/eV per atom

---

A relaxed Nd7Tm2Mg2 crystal, computed with GGA-PBE.

```
data_Nd7Tm2Mg2
_chemical_formula_sum 'Nd14 Tm4 Mg4'
_cell_length_a 11.220
_cell_length_b 11.540
_cell_length_c 6.160
_cell_angle_alpha 90.00
_cell_angle_beta 115.00
_cell_angle_gamma 90.00
_space_group_name_H-M_alt 'C 1 2/m 1'
_space_group_IT_number 12
loop_
_space_group_symop_operation_xyz
'x,y,z'
'-x,-y,-z'
'-x,y,-z'
'x,-y,z'
'x+1/2,y+1/2,z'
'-x+1/2,-y+1/2,-z'
'-x+1/2,y+1/2,-z'
'x+1/2,-y+1/2,z'
loop_
_atom_site_label
_atom_site_type_symbol
_atom_site_fract_x
_atom_site_fract_y
_atom_site_fract_z
Nd1 Nd 0.000 0.000 0.000
Nd2 Nd 0.098 0.500 0.809
Nd3 Nd 0.171 0.253 0.189
Tm1 Tm 0.000 0.197 0.500
Mg1 Mg 0.236 0.000 0.555
```

Computed properties:
**Final energy**: -88.7 eV per cell
**Relative energy among the computed polymorphs**: 4.30 kJ/mol of atoms
**Magnetic moment**: 0.000 μB/f.u.
**ΔH_f (0 K)**: 10.3 kJ/mol of atoms
**Density of states at the Fermi level**: 1.1252 states/eV per atom